(1)
Material: La2AsOs
Method: DFT, meta-GGA SCAN
State: PBEsol geometry

abc: 6.4162 6.4162 6.4162
angles: 146.42 139.20 53.84
With the nearest neighbours (Å) after each atom.
Positions (direct):
La  0.0000  0.0000  0.0000  4 As 3.07, 2 La 3.42
La  0.7256  0.2256  0.5000  4 Os 2.94, 2 As 3.10
As  0.4129  0.4129  0.0000  2 Os 2.53
Os  0.2629  0.7629  0.5000  2 As 2.53

total energy: -45.1752 eV per atom
ΔE_f: -0.61 eV/atom
space-group type: Imm2, No. 44


(2)
Material: La2AsOs
Method: DFT, meta-GGA SCAN
State: PBEsol geometry

abc: 5.0190 5.0190 3.6693
angles: 90.00 90.00 99.34
With the nearest neighbours (Å) after each atom.
Positions (direct):
La  0.0000  0.5000  0.0000  4 Os 3.11, 4 As 3.11, 2 La 3.25
La  0.5000  0.0000  0.0000  4 Os 3.11, 4 As 3.11, 2 La 3.25
As  0.0000  0.0000  0.5000  8 La 3.11, 2 Os 3.25
Os  0.5000  0.5000  0.5000  8 La 3.11, 2 As 3.25

total energy: -45.1119 eV per atom
ΔE_f: -0.54 eV/atom
space-group type: Cmmm, No. 65


(3)
Material: LaAs12Os4
Method: DFT, meta-GGA SCAN
State: PBEsol geometry

abc: 7.3926 7.3926 7.3926
angles: 109.47 109.47 109.47
With the nearest neighbours (Å) after each atom.
Positions (direct):
La  0.0000  0.0000  0.0000  12 As 3.24
As  0.1502  0.3488  0.4990  2 Os 2.45, 2 As 2.56-2.58
As  0.1502  0.6512  0.8013  2 Os 2.45, 2 As 2.56-2.58
As  0.1987  0.8498  0.3488  2 Os 2.45, 2 As 2.56-2.58
As  0.3488  0.1987  0.8498  2 Os 2.45, 2 As 2.56-2.58
As  0.3488  0.4990  0.1502  2 Os 2.45, 2 As 2.56-2.58
As  0.4990  0.1502  0.3488  2 Os 2.45, 2 As 2.56-2.58
As  0.5010  0.8498  0.6512  2 Os 2.45, 2 As 2.56-2.58
As  0.6512  0.5010  0.8498  2 Os 2.45, 2 As 2.56-2.58
As  0.6512  0.8013  0.1502  2 Os 2.45, 2 As 2.56-2.58
As  0.8013  0.1502  0.6512  2 Os 2.45, 2 As 2.56-2.58
As  0.8498  0.3488  0.1987  2 Os 2.45, 2 As 2.56-2.58
As  0.8498  0.6512  0.5010  2 Os 2.45, 2 As 2.56-2.58
Os  0.0000  0.0000  0.5000  6 As 2.45
Os  0.0000  0.5000  0.0000  6 As 2.45
Os  0.5000  0.0000  0.0000  6 As 2.45
Os  0.5000  0.5000  0.5000  6 As 2.45

total energy: -34.1907 eV per atom
ΔE_f: -0.49 eV/atom
space-group type: Im-3, No. 204


(4)
Material: LaAsOsPt2
Method: DFT, meta-GGA SCAN
State: PBEsol geometry

abc: 4.7532 4.7532 5.4521
angles: 90.00 90.00 90.00
With the nearest neighbours (Å) after each atom.
Positions (direct):
La  0.0000  0.0000  0.0000  2 Os 2.73
As  0.5000  0.5000  0.0000  4 La 3.36, 8 Pt 3.62
Os  0.0000  0.0000  0.5000  4 Pt 2.38
Pt  0.0000  0.5000  0.5000  2 Os 2.38
Pt  0.5000  0.0000  0.5000  2 Os 2.38

total energy: -54.6225 eV per atom
ΔE_f: 0.49 eV/atom
space-group type: P4/mmm, No. 123


Total magnetization, respectively: 0.00 0.00 0.00 0.00 μB per cell.
D(E_F), respectively: 3.2 1.5 10.5 3.8 states/eV/cell.